Material: CoSn2Ru
Method: DFT, PBE
State: optimized geometry

```
data_CoSn2Ru
_chemical_formula_sum 'Co3 Sn6 Ru3'
_symmetry_space_group_name_H-M 'R -3 m'
_symmetry_Int_Tables_number 166
_symmetry_space_group_name_Hall '-R 3 2"'
_cell_length_a 3.0529
_cell_length_b 3.0529
_cell_length_c 27.6278
_cell_angle_alpha 90.00
_cell_angle_beta 90.00
_cell_angle_gamma 120.00
loop_
_atom_site_label
_atom_site_type_symbol
_atom_site_fract_x
_atom_site_fract_y
_atom_site_fract_z
Co1 Co 0.0000 0.0000 0.0000
Sn1 Sn 0.0000 0.0000 0.4046
Ru1 Ru 0.0000 0.0000 0.5000
```

Material: PmErLuAl
Method: DFT, PBE
State: optimized geometry

```
data_PmErLuAl
_chemical_formula_sum 'Pm4 Er4 Lu4 Al4'
_symmetry_space_group_name_H-M 'F -4 3 m'
_symmetry_Int_Tables_number 216
_symmetry_space_group_name_Hall 'F -4 2 3'
_cell_length_a 7.548
_cell_length_b 7.548
_cell_length_c 7.548
_cell_angle_alpha 90.00
_cell_angle_beta 90.00
_cell_angle_gamma 90.00
loop_
_atom_site_label
_atom_site_type_symbol
_atom_site_fract_x
_atom_site_fract_y
_atom_site_fract_z
Pm1 Pm 0.000 0.000 0.000
Er1 Er 0.000 0.000 0.500
Lu1 Lu 0.250 0.250 0.250
Al1 Al 0.250 0.250 0.750
```

Table of DFT total energy (eV for the cell shown), in record order: -66.67, -71.54
Table of formation energy (kJ per mole of atoms), in record order: 52.2, -7.4